Record 1
Material: ZrGeSbO6
Method: DFT, PBE-GGA
State: relaxed

CIF file:
```
data_ZrGeSbO6
_chemical_formula_sum 'Zr2 Ge2 Sb2 O12'
_cell_length_a 5.3573
_cell_length_b 5.3573
_cell_length_c 9.0040
_cell_angle_alpha 90.00
_cell_angle_beta 90.00
_cell_angle_gamma 120.00
_space_group_name_H-M_alt 'P -3 1 c'
_space_group_IT_number 163
_space_group_name_Hall '-P 3 2c'
loop_
_atom_site_label
_atom_site_type_symbol
_atom_site_fract_x
_atom_site_fract_y
_atom_site_fract_z
Zr1 Zr 0.3333 0.6667 0.2500
Ge1 Ge 0.0000 0.0000 0.0000
Sb1 Sb 0.3333 0.6667 0.7500
O1 O 0.0143 0.3454 0.6287
```

Results
- D(E_F): 3.4 states/eV/f.u.
- Crystal system: trigonal
- E_form (uncorrected): -1.783 eV per atom

=====

Record 2
Material: Sc12Ge3O5
Method: DFT, PBE-GGA
State: relaxed

CIF file:
```
data_Sc12Ge3O5
_chemical_formula_sum 'Sc96 Ge24 O40'
_cell_length_a 14.1579
_cell_length_b 14.1579
_cell_length_c 14.1579
_cell_angle_alpha 90.00
_cell_angle_beta 90.00
_cell_angle_gamma 90.00
_space_group_name_H-M_alt 'I a -3 d'
_space_group_IT_number 230
_space_group_name_Hall '-I 4bd 2c 3'
loop_
_atom_site_label
_atom_site_type_symbol
_atom_site_fract_x
_atom_site_fract_y
_atom_site_fract_z
Sc1 Sc 0.0369 0.0517 0.6488
Ge1 Ge 0.0000 0.2500 0.1250
O1 O 0.0000 0.0000 0.0000
O2 O 0.0000 0.2500 0.3750
```

Results
- D(E_F): 15.0 states/eV/f.u.
- Crystal system: cubic
- E_form (uncorrected): -1.703 eV per atom